{
  "formula": "Pm6Ho2Er3Tl",
  "functional": "PBE-GGA",
  "state": "relaxed",
  "cell": [[6.175, -0.005, 0.007], [-3.090, 5.346, 0.007], [-1.048, -1.815, 11.553]],
  "species": ["Er", "Ho", "Pm", "Pm", "Er", "Tl", "Pm", "Pm", "Er", "Ho", "Pm", "Pm"],
  "frac_coords": [[0.500, 0.500, 0.500], [0.666, 0.334, 0.000], [0.754, 0.754, 0.250], [0.246, 0.246, 0.750], [0.167, 0.833, 0.500], [0.000, 0.000, 0.000], [0.588, 0.917, 0.751], [0.412, 0.083, 0.249], [0.833, 0.167, 0.500], [0.334, 0.666, 0.000], [0.083, 0.412, 0.249], [0.917, 0.588, 0.751]],
  "formation_enthalpy_0k_kj_per_mol_atoms": -1.0,
  "magmom_total_mub_per_cell": 0.00,
  "rho_g_cm3": 8.30,
  "volume_a3_per_atom": 31.8,
  "sg": "C2/m, No. 12"
}